Compound: RbMoH2
Source: the Alexandria database
Functional: GGA-PBE
Structure: optimized geometry

Calculated values
**Uncorrected energy**: -31.8 eV for the cell shown
**Space group**: No. 122
**Excess energy over the best structure of this formula in the dataset**: 0.0 meV/atom

Cell: 5.6520 5.6520 5.5524 Å, 59.41 59.41 90.00°
Element x y z (fractional)
H 0.7554 0.1250 0.2500
H 0.9946 0.6250 0.2500
H 0.3750 0.2446 0.7500
H 0.8750 0.0054 0.7500
Mo 0.0000 0.0000 0.0000
Mo 0.7500 0.2500 0.5000
Rb 0.5000 0.5000 0.0000
Rb 0.2500 0.7500 0.5000

Compound: RbMo3H
Source: the Alexandria database
Functional: GGA-PBE
Structure: optimized geometry

Calculated values
**Uncorrected energy**: -16.9 eV for the cell shown
**Space group**: No. 221
**Excess energy over the best structure of this formula in the dataset**: 2229.2 meV/atom

Cell: 4.6879 4.6879 4.6879 Å, 90.00 90.00 90.00°
Element x y z (fractional)
H 0.5000 0.5000 0.5000
Mo 0.0000 0.5000 0.0000
Mo 0.0000 0.0000 0.5000
Mo 0.5000 0.0000 0.0000
Rb 0.0000 0.0000 0.0000

Compound: RbMoH4
Source: the Alexandria database
Functional: GGA-PBE
Structure: optimized geometry

Calculated values
**Uncorrected energy**: -50.6 eV for the cell shown
**Space group**: No. 12

Cell: 4.9775 6.2699 6.5894 Å, 118.41 97.70 90.00°
Element x y z (fractional)
Rb 0.2099 0.1875 0.3751
Rb 0.7901 0.8125 0.6249
Mo 0.7443 0.4788 0.9577
Mo 0.2557 0.5212 0.0423
H 0.7595 0.3281 0.6562
H 0.5677 0.4141 0.1659
H 0.0000 0.2799 0.0000
H 0.4323 0.2482 0.8341
H 0.2405 0.6719 0.3438
H 0.4323 0.5859 0.8341
H 0.0000 0.7201 0.0000
H 0.5677 0.7518 0.1659

Compound: RbMo3H
Source: the Alexandria database
Functional: GGA-PBE
Structure: optimized geometry

Calculated values
**Uncorrected energy**: -28.1 eV for the cell shown
**Space group**: No. 221
**Excess energy over the best structure of this formula in the dataset**: 0.0 meV/atom

Cell: 4.3250 4.3250 4.3250 Å, 90.00 90.00 90.00°
Element x y z (fractional)
H 0.0000 0.0000 0.0000
Mo 0.0000 0.5000 0.0000
Mo 0.0000 0.0000 0.5000
Mo 0.5000 0.0000 0.0000
Rb 0.5000 0.5000 0.5000

Compound: RbMoH2
Source: the Alexandria database
Functional: GGA-PBE
Structure: optimized geometry

Calculated values
**Uncorrected energy**: -12.8 eV for the cell shown
**Space group**: No. 225
**Excess energy over the best structure of this formula in the dataset**: 771.9 meV/atom

Cell: 4.6995 4.6995 4.6995 Å, 60.00 60.00 60.00°
Element x y z (fractional)
H 0.2500 0.2500 0.2500
H 0.7500 0.7500 0.7500
Mo 0.5000 0.5000 0.5000
Rb 0.0000 0.0000 0.0000

Compound: RbMo2H8
Source: the Alexandria database
Functional: GGA-PBE
Structure: optimized geometry

Calculated values
**Uncorrected energy**: -49.3 eV for the cell shown
**Space group**: No. 8

Cell: 6.0543 4.9209 4.9209 Å, 124.14 89.88 89.88°
Element x y z (fractional)
Rb 0.0423 0.0169 0.0169
Mo 0.5593 0.6743 0.3209
Mo 0.5593 0.3209 0.6743
H 0.3831 0.0095 0.6594
H 0.3831 0.6594 0.0095
H 0.7143 0.5814 0.5814
H 0.8390 0.3288 0.6977
H 0.8390 0.6977 0.3288
H 0.3763 0.4442 0.4442
H 0.6524 0.2512 0.9819
H 0.6524 0.9819 0.2512

Compound: RbMoH
Source: the Alexandria database
Functional: GGA-PBE
Structure: optimized geometry

Calculated values
**Uncorrected energy**: -28.5 eV for the cell shown
**Space group**: No. 11
**Excess energy over the best structure of this formula in the dataset**: 0.0 meV/atom

Cell: 3.4696 3.4727 11.6073 Å, 90.00 96.10 90.00°
Element x y z (fractional)
Rb 0.8545 0.2500 0.7919
Rb 0.1455 0.7500 0.2082
Mo 0.7364 0.2500 0.4622
Mo 0.2636 0.7500 0.5378
H 0.6802 0.2500 0.3057
H 0.3198 0.7500 0.6943

Compound: Rb3MoH
Source: the Alexandria database
Functional: GGA-PBE
Structure: optimized geometry

Calculated values
**Uncorrected energy**: -12.6 eV for the cell shown
**Space group**: No. 221

Cell: 5.9719 5.9719 5.9719 Å, 90.00 90.00 90.00°
Element x y z (fractional)
H 0.0000 0.0000 0.0000
Mo 0.5000 0.5000 0.5000
Rb 0.0000 0.5000 0.0000
Rb 0.0000 0.0000 0.5000
Rb 0.5000 0.0000 0.0000

Compound: RbMoH3
Source: the Alexandria database
Functional: GGA-PBE
Structure: optimized geometry

Calculated values
**Uncorrected energy**: -20.0 eV for the cell shown
**Space group**: No. 221
**Excess energy over the best structure of this formula in the dataset**: 0.0 meV/atom

Cell: 4.0379 4.0379 4.0379 Å, 90.00 90.00 90.00°
Element x y z (fractional)
H 0.0000 0.5000 0.0000
H 0.0000 0.0000 0.5000
H 0.5000 0.0000 0.0000
Mo 0.0000 0.0000 0.0000
Rb 0.5000 0.5000 0.5000

Compound: Rb3MoH7
Source: the Alexandria database
Functional: GGA-PBE
Structure: optimized geometry

Calculated values
**Uncorrected energy**: -38.6 eV for the cell shown
**Space group**: No. 8

Cell: 6.4672 6.4672 6.3854 Å, 58.30 58.30 87.73°
Element x y z (fractional)
Rb 0.7129 0.2124 0.5300
Rb 0.4477 0.4477 0.0599
Rb 0.2124 0.7129 0.5300
Mo 0.9673 0.9673 0.0201
H 0.1684 0.1684 0.0205
H 0.7154 0.1027 0.1346
H 0.0228 0.2482 0.6854
H 0.1027 0.7154 0.1346
H 0.7575 0.7575 0.4363
H 0.2482 0.0228 0.6854
H 0.7697 0.7697 0.0130

Compound: RbMoH
Source: the Alexandria database
Functional: GGA-PBE
Structure: optimized geometry

Calculated values
**Uncorrected energy**: -28.1 eV for the cell shown
**Space group**: No. 1
**Excess energy over the best structure of this formula in the dataset**: 58.3 meV/atom

Cell: 3.3366 3.3611 11.1036 Å, 83.02 81.88 89.78°
Element x y z (fractional)
Rb 0.2731 0.8980 0.0716
Rb 0.1209 0.7639 0.3984
Mo 0.4705 0.1138 0.6899
Mo 0.9157 0.5400 0.7847
H 0.8281 0.4406 0.9498
H 0.6913 0.3255 0.2489

Compound: Rb3MoH8
Source: the Alexandria database
Functional: GGA-PBE
Structure: optimized geometry

Calculated values
**Uncorrected energy**: -42.7 eV for the cell shown
**Space group**: No. 121

Cell: 6.5658 6.2883 6.5658 Å, 58.53 90.00 121.47°
Element x y z (fractional)
Rb 0.7500 0.5000 0.7500
Rb 0.2500 0.5000 0.2500
Rb 0.5000 0.0000 0.5000
Mo 0.0000 0.0000 0.0000
H 0.2773 0.3457 0.9316
H 0.0684 0.3457 0.7227
H 0.7227 0.6543 0.2773
H 0.9316 0.6543 0.0684
H 0.7571 0.8942 0.8628
H 0.1372 0.8942 0.2429
H 0.2429 0.1058 0.7571
H 0.8628 0.1058 0.1372